# 1
KCd3Pb | PBE-GGA | relaxed

a b c (Å): 6.614 6.608 13.929
angles (deg): 90.00 90.00 90.00
Atoms (fractional coordinates):
Cd: 0.978 0.498 0.353
Cd: 0.250 0.250 0.493
Pb: 0.250 0.750 0.492
Cd: 0.478 0.998 0.647
Cd: 0.522 0.998 0.147
Cd: 0.022 0.498 0.853
Cd: 0.022 0.502 0.647
Cd: 0.750 0.750 0.507
K: 0.018 0.000 0.250
Pb: 0.250 0.250 0.008
Pb: 0.750 0.250 0.508
K: 0.482 0.500 0.250
Cd: 0.522 0.002 0.353
Cd: 0.750 0.250 0.993
Cd: 0.478 0.002 0.853
K: 0.518 0.500 0.750
Cd: 0.978 0.502 0.147
K: 0.982 0.000 0.750
Cd: 0.250 0.750 0.007
Pb: 0.750 0.750 0.992

Computed properties:
total energy: -1.56 eV/atom
symmetry: Pnna (52)
excess energy over the best structure of this formula in the dataset: 11.4 meV/atom
formation energy: -0.26 eV/f.u.

***

# 2
LiHo2Hf | PBE-GGA | relaxed

a b c (Å): 3.214 3.214 11.900
angles (deg): 82.24 82.24 60.00
Atoms (fractional coordinates):
Ho: 0.911 0.911 0.266
Ho: 0.089 0.089 0.734
Li: 0.500 0.500 0.500
Hf: 0.000 0.000 0.000

Computed properties:
total energy: -4.84 eV/atom
symmetry: R-3m (166)
excess energy over the best structure of this formula in the dataset: 318.0 meV/atom
formation energy: 1.66 eV/f.u.

***

# 3
Nb2VOs | PBE-GGA | relaxed

a b c (Å): 3.166 3.166 6.405
angles (deg): 90.00 90.00 90.00
Atoms (fractional coordinates):
Nb: 0.000 0.000 0.755
V: 0.500 0.500 0.000
Nb: 0.000 0.000 0.245
Os: 0.500 0.500 0.500

Computed properties:
total energy: -10.33 eV/atom
symmetry: P4/mmm (123)
formation energy: -0.83 eV/f.u.

***

# 4
V2ReSe | PBE-GGA | relaxed

a b c (Å): 5.791 5.791 6.615
angles (deg): 64.04 64.04 90.00
Site moments in Bohr magnetons follow the coordinates.
Atoms (fractional coordinates):
V: 0.115 0.625 0.250  1.53
Se: 0.250 0.750 0.500  -0.06
Se: 0.500 0.500 0.000  -0.06
V: 0.635 0.125 0.250  1.53
V: 0.875 0.885 0.750  1.53
Re: 0.000 0.000 0.000  -0.57
V: 0.375 0.365 0.750  1.53
Re: 0.750 0.250 0.500  -0.57

Computed properties:
total energy: -7.79 eV/atom
symmetry: I-42d (122)
E_form (uncorrected): 748 meV/atom

***

# 5
CsNa2IF | PBE-GGA | relaxed

a b c (Å): 5.839 8.134 5.839
angles (deg): 90.00 90.00 90.00
Atoms (fractional coordinates):
I: 0.000 0.000 0.000
Na: 0.500 0.000 0.000
Cs: 0.000 0.500 0.000
Na: 0.000 0.000 0.500
F: 0.500 0.500 0.500

Computed properties:
total energy: -2.38 eV/atom
symmetry: P4/mmm (123)
E_form (uncorrected): -995 meV/atom

***

# 6
ThHgO | PBE-GGA | relaxed

a b c (Å): 3.812 3.812 9.038
angles (deg): 102.17 102.17 90.00
Atoms (fractional coordinates):
Hg: 0.298 0.298 0.597
O: 0.500 0.000 0.000
O: 0.000 0.500 0.000
Th: 0.912 0.912 0.824
Hg: 0.702 0.702 0.403
Th: 0.088 0.088 0.176

Computed properties:
total energy: -5.92 eV/atom
symmetry: I4/mmm (139)
excess energy over the best structure of this formula in the dataset: 340.7 meV/atom
E_form (uncorrected): -1697 meV/atom

***

# 7
Sc2CO | PBE-GGA | relaxed

a b c (Å): 4.019 4.019 4.019
angles (deg): 60.00 60.00 60.00
Atoms (fractional coordinates):
Sc: 0.250 0.250 0.250
O: 0.500 0.500 0.500
C: 0.000 0.000 0.000
Sc: 0.750 0.750 0.750

Computed properties:
total energy: -7.73 eV/atom
symmetry: Fm-3m (225)
excess energy over the best structure of this formula in the dataset: 887.2 meV/atom
E_form (uncorrected): -1018 meV/atom

***

# 8
Tb5Pm | PBE-GGA | relaxed

a b c (Å): 5.049 6.195 7.152
angles (deg): 106.80 90.00 114.05
Atoms (fractional coordinates):
Tb: 0.306 0.611 0.222
Tb: 0.639 0.278 0.890
Pm: 0.306 0.611 0.722
Tb: 0.972 0.944 0.555
Tb: 0.973 0.946 0.057
Tb: 0.638 0.276 0.388

Computed properties:
total energy: -4.64 eV/atom
symmetry: C2/m (12)
formation energy: 0.09 eV/f.u.

***

# 9
Rb2UCl8 | PBE-GGA | relaxed

a b c (Å): 4.930 6.617 11.572
angles (deg): 105.12 102.30 90.00
Site moments in Bohr magnetons follow the coordinates.
Atoms (fractional coordinates):
Cl: 0.982 0.198 0.964  -0.02
Cl: 0.605 0.939 0.210  -0.02
Rb: 0.186 0.693 0.373  0.00
Cl: 0.433 0.629 0.866  -0.02
Cl: 0.780 0.769 0.560  0.16
Cl: 0.395 0.061 0.790  -0.02
Cl: 0.018 0.802 0.036  -0.02
Rb: 0.814 0.307 0.627  0.00
U: 0.500 0.000 0.000  0.42
Cl: 0.567 0.371 0.134  -0.02
Cl: 0.220 0.231 0.440  0.16

Computed properties:
total energy: -4.02 eV/atom
symmetry: C2/m (12)
E_form (uncorrected): -1474 meV/atom

***

# 10
Ho2MgV | PBE-GGA | relaxed

a b c (Å): 3.590 3.590 7.784
angles (deg): 90.00 90.00 90.00
Site moments in Bohr magnetons follow the coordinates.
Atoms (fractional coordinates):
Ho: 0.000 0.000 0.781  0.17
Ho: 0.000 0.000 0.219  0.17
Mg: 0.500 0.500 0.500  0.00
V: 0.500 0.500 0.000  2.22

Computed properties:
total energy: -4.85 eV/atom
symmetry: P4/mmm (123)
excess energy over the best structure of this formula in the dataset: 0.0 meV/atom
formation energy: 0.47 eV/f.u.

***

# 11
Cd2MoP | PBE-GGA | relaxed

a b c (Å): 5.126 5.126 5.126
angles (deg): 132.81 132.81 68.95
Site moments in Bohr magnetons follow the coordinates.
Atoms (fractional coordinates):
Cd: 0.250 0.750 0.500  0.00
P: 0.750 0.250 0.500  -0.02
Cd: 0.000 0.000 0.000  -0.01
Mo: 0.500 0.500 0.000  0.86

Computed properties:
total energy: -4.04 eV/atom
symmetry: I-4m2 (119)
formation energy: 1.90 eV/f.u.

***

# 12
BaErS2O8 | PBE-GGA | relaxed

a b c (Å): 5.205 5.205 8.274
angles (deg): 90.00 90.00 120.00
Site moments in Bohr magnetons follow the coordinates.
Atoms (fractional coordinates):
O: 0.333 0.667 0.942  0.00
S: 0.333 0.667 0.762  0.00
S: 0.667 0.333 0.238  0.00
Ba: 0.000 0.000 0.000  0.00
O: 0.824 0.646 0.295  0.00
O: 0.667 0.333 0.058  0.00
O: 0.176 0.354 0.705  0.00
O: 0.822 0.176 0.295  0.00
Er: 0.000 0.000 0.500  0.23
O: 0.178 0.824 0.705  0.00
O: 0.646 0.822 0.705  0.00
O: 0.354 0.178 0.295  0.00

Computed properties:
total energy: -6.56 eV/atom
symmetry: P-3m1 (164)
E_form (uncorrected): -2031 meV/atom

***

# 13
CeLuMnGa | PBE-GGA | relaxed

a b c (Å): 4.992 4.992 4.992
angles (deg): 60.00 60.00 60.00
Site moments in Bohr magnetons follow the coordinates.
Atoms (fractional coordinates):
Lu: 0.000 0.000 0.000  0.24
Mn: 0.750 0.750 0.750  -3.22
Ce: 0.500 0.500 0.500  0.60
Ga: 0.250 0.250 0.250  -0.03

Computed properties:
total energy: -5.80 eV/atom
symmetry: F-43m (216)
formation energy: -0.57 eV/f.u.

***

# 14
Li5Zn2Au4 | PBE-GGA | relaxed

a b c (Å): 2.848 7.282 8.781
angles (deg): 87.08 90.00 90.00
Atoms (fractional coordinates):
Zn: 0.000 0.079 0.365
Li: 0.000 0.551 0.659
Au: 0.500 0.249 0.592
Au: 0.500 0.786 0.874
Li: 0.000 0.148 0.866
Au: 0.500 0.751 0.408
Li: 0.000 0.449 0.341
Au: 0.500 0.214 0.126
Zn: 0.000 0.921 0.635
Li: 0.000 0.500 0.000
Li: 0.000 0.852 0.134

Computed properties:
total energy: -2.71 eV/atom
symmetry: P2/m (10)
formation energy: -4.57 eV/f.u.

***

# 15
PmInAgHg | PBE-GGA | relaxed

a b c (Å): 5.125 5.125 5.125
angles (deg): 60.00 60.00 60.00
Atoms (fractional coordinates):
Pm: 0.500 0.500 0.500
In: 0.000 0.000 0.000
Ag: 0.750 0.750 0.750
Hg: 0.250 0.250 0.250

Computed properties:
total energy: -3.04 eV/atom
symmetry: F-43m (216)
formation energy: -1.50 eV/f.u.

***

# 16
ErTmAlGa | PBE-GGA | relaxed

a b c (Å): 4.358 4.024 5.852
angles (deg): 90.00 111.86 90.00
Atoms (fractional coordinates):
Tm: 0.862 0.500 0.723
Ga: 0.422 0.000 0.844
Al: 0.574 0.500 0.148
Er: 0.142 0.000 0.284

Computed properties:
total energy: -4.45 eV/atom
symmetry: Amm2 (38)
excess energy over the best structure of this formula in the dataset: 0.0 meV/atom
formation energy: -2.02 eV/f.u.

***

# 17
CeInAu2 | PBE-GGA | relaxed

a b c (Å): 5.038 5.037 5.038
angles (deg): 60.00 60.00 60.00
Site moments in Bohr magnetons follow the coordinates.
Atoms (fractional coordinates):
In: 0.250 0.250 0.250  0.01
Au: 0.000 0.000 0.000  0.00
Ce: 0.750 0.750 0.750  0.53
Au: 0.500 0.500 0.500  0.00

Computed properties:
total energy: -4.44 eV/atom
symmetry: Fm-3m (225)
formation energy: -2.54 eV/f.u.

***

# 18
Na3Ge5Br12 | PBE-GGA | relaxed

a b c (Å): 15.303 15.303 15.303
angles (deg): 109.47 109.47 109.47
Atoms (fractional coordinates):
Ge: 0.500 0.000 0.000
Br: 0.467 0.673 0.092
Na: 0.250 0.125 0.375
Br: 0.125 0.706 0.533
Br: 0.967 0.592 0.173
Na: 0.125 0.250 0.875
Na: 0.875 0.750 0.125
Ge: 0.750 0.625 0.375
Na: 0.875 0.125 0.250
Ge: 0.375 0.125 0.750
Br: 0.033 0.625 0.706
Br: 0.581 0.706 0.673
Br: 0.673 0.467 0.592
Ge: 0.625 0.750 0.875
Br: 0.327 0.794 0.419
Na: 0.625 0.375 0.750
Br: 0.375 0.967 0.794
Br: 0.125 0.419 0.092
Br: 0.081 0.908 0.375
Br: 0.919 0.827 0.794
Br: 0.827 0.908 0.033
Br: 0.625 0.592 0.919
Na: 0.625 0.250 0.375
Br: 0.625 0.033 0.206
Na: 0.250 0.625 0.875
Br: 0.419 0.294 0.327
Ge: 0.750 0.125 0.875
Br: 0.173 0.092 0.967
Br: 0.592 0.625 0.419
Br: 0.408 0.033 0.327
Br: 0.706 0.581 0.173
Br: 0.081 0.173 0.206
Ge: 0.125 0.375 0.250
Ge: 0.125 0.750 0.375
Br: 0.794 0.327 0.919
Br: 0.592 0.967 0.673
Br: 0.419 0.125 0.592
Br: 0.033 0.408 0.827
Br: 0.967 0.375 0.294
Br: 0.533 0.327 0.908
Br: 0.919 0.092 0.625
Br: 0.533 0.206 0.125
Na: 0.125 0.875 0.750
Ge: 0.375 0.250 0.125
Ge: 0.000 0.000 0.500
Br: 0.092 0.919 0.125
Br: 0.092 0.173 0.467
Ge: 0.500 0.500 0.500
Br: 0.908 0.827 0.533
Br: 0.173 0.081 0.706
Ge: 0.000 0.500 0.500
Br: 0.408 0.375 0.581
Na: 0.375 0.625 0.250
Na: 0.750 0.375 0.125
Br: 0.908 0.081 0.875
Br: 0.294 0.875 0.967
Ge: 0.500 0.000 0.500
Na: 0.375 0.750 0.625
Br: 0.875 0.294 0.467
Ge: 0.000 0.000 0.000
Br: 0.206 0.533 0.625
Br: 0.706 0.125 0.033
Ge: 0.625 0.875 0.250
Br: 0.294 0.419 0.827
Br: 0.581 0.875 0.408
Br: 0.327 0.533 0.408
Br: 0.673 0.206 0.581
Ge: 0.250 0.375 0.625
Ge: 0.000 0.500 0.000
Ge: 0.875 0.625 0.750
Br: 0.375 0.408 0.081
Ge: 0.500 0.500 0.000
Br: 0.875 0.581 0.908
Ge: 0.875 0.250 0.625
Br: 0.467 0.794 0.875
Br: 0.827 0.919 0.294
Br: 0.206 0.673 0.081
Br: 0.794 0.467 0.375
Ge: 0.250 0.875 0.125
Na: 0.750 0.875 0.625

Computed properties:
total energy: -3.04 eV/atom
symmetry: Ia-3d (230)
E_form (uncorrected): -679 meV/atom

***

# 19
GaH3Pb | PBE-GGA | relaxed

a b c (Å): 3.928 3.928 3.928
angles (deg): 90.00 90.00 90.00
Atoms (fractional coordinates):
H: 0.000 0.000 0.500
Pb: 0.500 0.500 0.500
Ga: 0.000 0.000 0.000
H: 0.000 0.500 0.000
H: 0.500 0.000 0.000

Computed properties:
total energy: -2.92 eV/atom
symmetry: Pm-3m (221)
excess energy over the best structure of this formula in the dataset: 0.0 meV/atom

***

# 20
ZrTc2Rh | PBE-GGA | relaxed

a b c (Å): 4.870 4.870 4.848
angles (deg): 76.60 76.60 36.05
Atoms (fractional coordinates):
Tc: 0.006 0.006 0.955
Rh: 0.258 0.258 0.265
Tc: 0.737 0.737 0.814
Zr: 0.500 0.500 0.467

Computed properties:
total energy: -9.24 eV/atom
symmetry: Cm (8)
excess energy over the best structure of this formula in the dataset: 80.0 meV/atom
formation energy: -0.34 eV/f.u.